Entry from Alexandria via LeMat-Bulk: a geometry-optimized AcLaNd2 structure (PBE).

Lattice parameters (Å, degrees): 3.8158 6.3040 12.6323 90.00 90.00 90.00
Last column: nearest neighbours and their distance in Å.
Space group Immm (No. 71)
Inequivalent atoms, fractional coordinates:
Ac 0.0000 0.0000 0.0000 (multiplicity 2)  4 La 3.68, 4 Nd 3.76, 2 Ac 3.82
La 0.0000 0.0000 0.5000 (multiplicity 2)  4 Nd 3.61, 4 Ac 3.68, 2 La 3.82
Nd 0.0000 0.5000 0.2431 (multiplicity 4)  2 La 3.61, 6 Nd 3.69-3.82, 2 Ac 3.76

Energy = -4.53 eV per atom
Energy relative to the lowest polymorph listed for this composition = 37 kJ/mol of formula units
ΔE_f = 44.1 kJ/mol of formula units

Entry from Alexandria via LeMat-Bulk: a geometry-optimized MgZn2Co structure (PBE).

Lattice parameters (Å, degrees): 3.8294 3.8294 3.8357 90.00 90.00 90.00
Last column: nearest neighbours and their distance in Å.
Space group P4/mmm (No. 123)
Inequivalent atoms, fractional coordinates:
Mg 0.0000 0.0000 0.0000 (multiplicity 1)  4 Co 2.71, 8 Zn 2.71
Zn 0.0000 0.5000 0.5000 (multiplicity 2)  4 Zn 2.71, 4 Co 2.71, 4 Mg 2.71
Co 0.5000 0.5000 0.0000 (multiplicity 1)  4 Mg 2.71, 8 Zn 2.71

Energy = -2.82 eV per atom
ΔE_f = -2.4 kJ/mol of formula units

Entry from Alexandria via LeMat-Bulk: a geometry-optimized Na2HgCl4 structure (PBE).

Lattice parameters (Å, degrees): 8.7486 8.7486 10.2224 90.00 90.00 90.00
Last column: nearest neighbours and their distance in Å.
Space group P4_122 (No. 91)
Inequivalent atoms, fractional coordinates:
Na 0.0000 0.2405 0.0000 (multiplicity 4)  6 Cl 2.75-3.01
Na 0.2467 0.2467 0.3750 (multiplicity 4)  4 Cl 2.69-2.78
Hg 0.2148 0.5000 0.7500 (multiplicity 4)  4 Cl 2.52-2.71
Cl 0.0338 0.2498 0.7331 (multiplicity 8)  3 Na 2.69-2.84, 1 Hg 2.71
Cl 0.2512 0.4754 0.9936 (multiplicity 8)  1 Hg 2.52, 1 Na 2.78

Energy = -2.74 eV per atom
Energy relative to the elements, uncorrected = -1264 meV/atom
Energy relative to the lowest polymorph listed for this composition = 0 kJ/mol of formula units

Entry from Alexandria via LeMat-Bulk: a geometry-optimized CaLaInBi structure (PBE).

Lattice parameters (Å, degrees): 7.9339 7.9339 7.9339 90.00 90.00 90.00
Last column: nearest neighbours and their distance in Å.
Space group F-43m (No. 216)
Inequivalent atoms, fractional coordinates:
Ca 0.0000 0.0000 0.0000 (multiplicity 4)  4 In 3.44, 4 Bi 3.44
La 0.0000 0.0000 0.5000 (multiplicity 4)  4 In 3.44, 4 Bi 3.44
In 0.2500 0.2500 0.7500 (multiplicity 4)  4 La 3.44, 4 Ca 3.44
Bi 0.2500 0.2500 0.2500 (multiplicity 4)  4 La 3.44, 4 Ca 3.44

Energy = -3.96 eV per atom
ΔE_f = -219.2 kJ/mol of formula units

Entry from Alexandria via LeMat-Bulk: a geometry-optimized Ba2Ga3P structure (PBE).

Lattice parameters (Å, degrees): 4.4458 5.0341 7.4167 90.00 90.00 90.00
Last column: nearest neighbours and their distance in Å.
Space group Pmm2 (No. 25)
Inequivalent atoms, fractional coordinates:
Ba 0.0000 0.0000 0.0000 (multiplicity 1)  8 Ga 3.48-3.61, 4 P 3.55
Ba 0.5000 0.0000 0.4752 (multiplicity 1)  2 P 3.46, 10 Ga 3.54-3.64
Ga 0.0000 0.5000 0.3240 (multiplicity 1)  1 Ga 2.53, 2 P 2.55
Ga 0.0000 0.5000 0.6655 (multiplicity 1)  3 Ga 2.51-2.53
Ga 0.5000 0.5000 0.8216 (multiplicity 1)  1 P 2.48, 2 Ga 2.51
P 0.5000 0.5000 0.1557 (multiplicity 1)  3 Ga 2.48-2.55

Energy = -3.62 eV per atom
ΔE_f = -327.8 kJ/mol of formula units

Entry from Alexandria via LeMat-Bulk: a geometry-optimized Tl2As2Br7 structure (PBE).

Lattice parameters (Å, degrees): 10.2929 12.2261 7.9947 90.00 94.61 90.00
Last column: nearest neighbours and their distance in Å.
Space group C2/m (No. 12)
Inequivalent atoms, fractional coordinates:
Tl 0.0000 0.1850 0.0000 (multiplicity 4)  4 Br 3.13-3.45
As 0.2494 0.5000 0.4343 (multiplicity 4)  3 Br 2.45-2.66
Br 0.0000 0.5000 0.5000 (multiplicity 2)  2 As 2.66
Br 0.1314 0.0000 0.2247 (multiplicity 4)  1 As 2.90, 2 Tl 3.13
Br 0.2415 0.3411 0.2472 (multiplicity 8)  1 As 2.45

Energy = -2.80 eV per atom
Energy relative to the elements, uncorrected = -458 meV/atom

Number 1: N(E_F) 8.54 states/eV/f.u.. Number 2: N(E_F) 3.07 states/eV/f.u.. Number 3: N(E_F) 0.00 states/eV/f.u.. Number 4: N(E_F) 3.13 states/eV/f.u.. Number 5: N(E_F) 3.41 states/eV/f.u.. Number 6: N(E_F) 0.41 states/eV/f.u..